Model one:
This record from the Alexandria database describes a relaxed VSbS crystal. The functional is PBE.

Computed properties:
spin magnetization	1.80	Bohr magnetons per cell
space-group type	P2_1/m

Cell and atoms, written as POSCAR:
```
VSbS
1.0
4.334 0.000 0.000
0.000 4.670 -0.206
0.000 -1.236 5.639
V Sb S
2 2 2
direct
0.250 0.383 0.616
0.750 0.617 0.384
0.750 0.744 0.947
0.250 0.256 0.053
0.750 0.193 0.532
0.250 0.807 0.468
```

Model two:
This record from the Alexandria database describes a relaxed VSbS crystal. The functional is PBE.

Computed properties:
spin magnetization	0.57	Bohr magnetons per cell
space-group type	P3m1

Cell and atoms, written as POSCAR:
```
VSbS
1.0
-0.047 3.114 0.909
-2.592 -1.881 0.518
2.576 -1.808 6.326
V S Sb
1 1 1
direct
0.667 0.333 0.371
0.333 0.667 0.562
0.000 0.000 0.068
```

Stability, descending: model two, model one

Model one:
This record from the Alexandria database describes a relaxed VSb3S crystal. The functional is PBE.

Computed properties:
spin magnetization	0.01	Bohr magnetons per cell
space-group type	Pm-3m

Cell and atoms, written as POSCAR:
```
VSb3S
1.0
5.032 0.000 0.000
0.000 5.032 0.000
0.000 0.000 5.032
V S Sb
1 1 3
direct
0.000 0.000 0.000
0.500 0.500 0.500
0.500 0.000 0.000
0.000 0.000 0.500
0.000 0.500 0.000
```

Model two:
This record from the Alexandria database describes a relaxed VSb3S crystal. The functional is PBE.

Computed properties:
spin magnetization	3.56	Bohr magnetons per cell
space-group type	Pm-3m

Cell and atoms, written as POSCAR:
```
VSb3S
1.0
5.154 0.000 0.000
0.000 5.154 0.000
0.000 0.000 5.154
Sb V S
3 1 1
direct
0.000 0.000 0.500
0.000 0.500 0.000
0.500 0.000 0.000
0.500 0.500 0.500
0.000 0.000 0.000
```

Stability, descending: model one, model two

Model one:
This record from the Alexandria database describes a relaxed V3SbS crystal. The functional is PBE.

Computed properties:
spin magnetization	0.00	Bohr magnetons per cell
space-group type	Pm-3m

Cell and atoms, written as POSCAR:
```
V3SbS
1.0
4.327 0.000 0.000
0.000 4.327 0.000
0.000 0.000 4.327
V S Sb
3 1 1
direct
0.500 0.000 0.000
0.000 0.500 0.000
0.000 0.000 0.500
0.000 0.000 0.000
0.500 0.500 0.500
```

Model two:
This record from the Alexandria database describes a relaxed V3SbS crystal. The functional is PBE.

Computed properties:
spin magnetization	10.00	Bohr magnetons per cell
space-group type	Pm-3m

Cell and atoms, written as POSCAR:
```
V3SbS
1.0
5.094 0.000 0.000
0.000 5.094 0.000
0.000 0.000 5.094
V S Sb
3 1 1
direct
0.500 0.000 0.000
0.000 0.500 0.000
0.000 0.000 0.500
0.500 0.500 0.500
0.000 0.000 0.000
```

Stability, descending: model one, model two

Model one:
This record from the Alexandria database describes a relaxed SbWS3 crystal. The functional is PBE.

Computed properties:
spin magnetization	0.00	Bohr magnetons per cell
space-group type	Pm-3m

Cell and atoms, written as POSCAR:
```
SbWS3
1.0
-1.633 -4.239 -1.222
3.190 -2.035 2.796
-3.048 0.142 3.580
W S Sb
1 3 1
direct
0.000 0.000 0.000
0.500 0.000 0.000
0.000 0.500 0.000
0.000 0.000 0.500
0.500 0.500 0.500
```

Model two:
This record from the Alexandria database describes a relaxed SbWS3 crystal. The functional is PBE.

Computed properties:
spin magnetization	3.59	Bohr magnetons per cell
space-group type	Pm-3m

Cell and atoms, written as POSCAR:
```
SbWS3
1.0
4.931 0.000 0.000
0.000 4.931 0.000
0.000 0.000 4.931
S Sb W
3 1 1
direct
0.000 0.000 0.500
0.000 0.500 0.000
0.500 0.000 0.000
0.000 0.000 0.000
0.500 0.500 0.500
```

Stability, descending: model one, model two

Model one:
This record from the Alexandria database describes a relaxed SbW3S crystal. The functional is PBE.

Computed properties:
spin magnetization	0.00	Bohr magnetons per cell
space-group type	Pm-3m

Cell and atoms, written as POSCAR:
```
SbW3S
1.0
-2.967 1.255 3.126
-2.558 -3.550 -1.003
2.191 -2.445 3.062
Sb S W
1 1 3
direct
0.500 0.500 0.500
0.000 0.000 0.000
0.500 0.000 0.000
0.000 0.000 0.500
0.000 0.500 0.000
```

Model two:
This record from the Alexandria database describes a relaxed SbW3S crystal. The functional is PBE.

Computed properties:
spin magnetization	0.00	Bohr magnetons per cell
space-group type	Pm-3m

Cell and atoms, written as POSCAR:
```
SbW3S
1.0
-3.311 3.333 1.470
-3.523 -3.435 -0.147
0.926 -1.151 4.695
W Sb S
3 1 1
direct
0.000 0.000 0.500
0.000 0.500 0.000
0.500 0.000 0.000
0.000 0.000 0.000
0.500 0.500 0.500
```

Stability, descending: model one, model two

Model one:
This record from the Alexandria database describes a relaxed Y3Sb2S crystal. The functional is PBE.

Computed properties:
spin magnetization	0.00	Bohr magnetons per cell
space-group type	Cmcm

Cell and atoms, written as POSCAR:
```
Y3Sb2S
1.0
6.738 0.000 0.000
0.000 7.317 -0.006
0.000 -2.408 6.910
Sb S Y
4 2 6
direct
0.750 0.469 0.164
0.250 0.836 0.531
0.750 0.164 0.469
0.250 0.531 0.836
0.750 0.921 0.921
0.250 0.079 0.079
0.250 0.388 0.388
0.000 0.172 0.828
0.500 0.172 0.828
0.500 0.828 0.172
0.000 0.828 0.172
0.750 0.612 0.612
```

Model two:
This record from the Alexandria database describes a relaxed Y3Sb2S crystal. The functional is PBE.

Computed properties:
spin magnetization	0.00	Bohr magnetons per cell
space-group type	Immm

Cell and atoms, written as POSCAR:
```
Y3Sb2S
1.0
0.641 3.334 -2.512
4.811 -2.757 -2.432
-6.467 -2.907 -1.958
Sb Y S
2 3 1
direct
0.171 0.171 0.843
0.829 0.829 0.157
0.500 0.000 0.500
0.847 0.347 0.194
0.153 0.653 0.806
0.500 0.500 0.500
```

Stability, descending: model two, model one